10
Lattice="8.311 0.000 0.000 0.000 8.311 0.000 0.000 0.000 4.630" Properties=species:S:1:pos:R:3 comment="Sm2Y2In (GGA-PBE, optimized geometry)" relative_energy_ev_per_atom=0.2120 delta_e_f_ev_per_atom=0.036 m_tot_mub_per_atom=0.000 density_g_cm3=6.2 pbc="T T T"
Sm 1.218 2.937 0.000
Sm 2.937 7.093 0.000
Sm 5.374 1.218 0.000
Sm 7.093 5.374 0.000
Y 1.286 5.442 2.315
Y 2.869 1.286 2.315
Y 5.442 7.025 2.315
Y 7.025 2.869 2.315
In 0.000 0.000 0.000
In 4.156 4.156 0.000